Arrangement P

Computed, not measured: a relaxed BC2 crystal at the PBE level of DFT.

Properties
Magnetization = 0.00 μB per cell

Cell lengths 6.1973, 6.1973, 5.0786 Å; angles 102.11, 102.11, 23.89 degrees
Positions (direct):
C 0.3178 0.3178 0.6601
C 0.2468 0.2468 0.3787
B 0.3257 0.3257 0.1640
C 0.5970 0.5970 0.0472
B 0.8974 0.8974 0.7140
B 0.0098 0.0098 0.0128
C 0.9148 0.9148 0.2096
C 0.6699 0.6699 0.3347
B 0.0128 0.0128 0.4807
C 0.6677 0.6677 0.8319
C 0.2457 0.2457 0.8690
C 0.5947 0.5947 0.5474

Arrangement Q

Computed, not measured: a relaxed BC2 crystal at the PBE level of DFT.

Properties
Magnetization = 0.00 μB per cell

Cell lengths 2.6273, 2.6273, 14.4265 Å; angles 90.00, 90.00, 120.00 degrees
Positions (direct):
B 0.6667 0.3333 0.8635
C 0.6667 0.3333 0.1946
C 0.0000 0.0000 0.4601
C 0.6667 0.3333 0.7483
C 0.3333 0.6667 0.1572
C 0.3333 0.6667 0.0511
B 0.3333 0.6667 0.4716
B 0.3333 0.6667 0.7367
C 0.0000 0.0000 0.9098
C 0.6667 0.3333 0.2986
B 0.0000 0.0000 0.3448
C 0.0000 0.0000 0.0138

Stability verdict: arrangement Q, ahead by 84 meV per atom

Arrangement P

Computed, not measured: a relaxed InCuCl crystal at the PBE level of DFT.

Properties
Magnetization = 0.00 μB per cell

Cell lengths 6.6621, 6.2821, 3.4954 Å; angles 80.43, 68.41, 31.16 degrees
Positions (direct):
Cu 0.6522 0.6522 0.3478
Cl 0.0385 0.0385 0.9615
In 0.3092 0.3092 0.6908

Arrangement Q

Computed, not measured: a relaxed InCuCl crystal at the PBE level of DFT.

Properties
Magnetization = 0.00 μB per cell

Cell lengths 3.6673, 3.6673, 5.6555 Å; angles 90.00, 90.00, 120.00 degrees
Positions (direct):
Cl 0.0000 0.0000 0.0798
Cu 0.6667 0.3333 0.3096
In 0.3333 0.6667 0.6106

Stability verdict: arrangement Q, ahead by 68 meV per atom

Arrangement P

Computed, not measured: a relaxed PmDyNiPd crystal at the PBE level of DFT.

Properties
Magnetization = 0.00 μB per cell

Cell lengths 3.8254, 4.4517, 5.5439 Å; angles 90.00, 110.18, 90.00 degrees
Positions (direct):
Pm 0.1414 0.0000 0.2828
Dy 0.8633 0.5000 0.7266
Ni 0.4184 0.0000 0.8369
Pd 0.5769 0.5000 0.1537

Arrangement Q

Computed, not measured: a relaxed PmDyNiPd crystal at the PBE level of DFT.

Properties
Magnetization = 0.00 μB per cell

Cell lengths 4.9506, 4.9506, 4.9506 Å; angles 60.00, 60.00, 60.00 degrees
Positions (direct):
Pd 0.7500 0.7500 0.7500
Ni 0.2500 0.2500 0.2500
Pm 0.5000 0.5000 0.5000
Dy 0.0000 0.0000 0.0000

Stability verdict: arrangement P, ahead by 65 meV per atom